[1]
Here is a relaxed structure of SmFeOs from the Open Quantum Materials Database. Energies are from PBE-GGA.

Cell: 4.5285 4.5285 4.5285 Å, 60.00 60.00 60.00°
Positions (direct):
Sm (0.0000, 0.0000, 0.0000)
Fe (0.7500, 0.7500, 0.7500)
Os (0.2500, 0.2500, 0.2500)

Calculated values
E_form = 133 kJ per mole of atoms
Magnetization = 3.40 μB per formula unit
Space-group type = F-43m (216)
Distance to the lowest polymorph of the same formula = 0.836 eV/atom
E = -6.702 eV/atom

[2]
Here is a relaxed structure of AlFe2W from the Open Quantum Materials Database. Energies are from PBE-GGA.

Cell: 6.5004 6.5393 4.8790 Å, 90.00 90.00 90.00°
Positions (direct):
Al (0.0915, 0.2500, 0.1464)
Al (0.4085, 0.7500, 0.6464)
Al (0.5915, 0.2500, 0.3536)
Al (0.9085, 0.7500, 0.8536)
Fe (0.2006, 0.5437, 0.9153)
Fe (0.2006, 0.9563, 0.9153)
Fe (0.2994, 0.0437, 0.4153)
Fe (0.2994, 0.4563, 0.4153)
Fe (0.7006, 0.5437, 0.5847)
Fe (0.7006, 0.9563, 0.5847)
Fe (0.7994, 0.0437, 0.0847)
Fe (0.7994, 0.4563, 0.0847)
W (0.0523, 0.7500, 0.3561)
W (0.4477, 0.2500, 0.8561)
W (0.5523, 0.7500, 0.1439)
W (0.9477, 0.2500, 0.6439)

Calculated values
Magnetization = 1.93 μB per formula unit
Space-group type = Pnma (62)
E = -8.125 eV/atom

[3]
Here is a relaxed structure of NaZrTlS3 from the Open Quantum Materials Database. Energies are from PBE-GGA.

Cell: 7.7904 3.8074 11.3190 Å, 90.00 110.03 90.00°
Positions (direct):
Na (0.1459, 0.2500, 0.1139)
Na (0.8541, 0.7500, 0.8861)
Zr (0.0786, 0.7500, 0.3612)
Zr (0.9214, 0.2500, 0.6388)
Tl (0.4163, 0.2500, 0.7794)
Tl (0.5837, 0.7500, 0.2206)
S (0.1015, 0.2500, 0.8653)
S (0.1557, 0.7500, 0.6101)
S (0.2940, 0.2500, 0.3709)
S (0.7060, 0.7500, 0.6291)
S (0.8443, 0.2500, 0.3899)
S (0.8985, 0.7500, 0.1347)

Calculated values
Magnetization = 0.00 μB per formula unit
Space-group type = P2_1/m (11)
Distance to the lowest polymorph of the same formula = 0.001 eV/atom
E = -5.194 eV/atom

[4]
Here is a relaxed structure of Pt15Pb from the Open Quantum Materials Database. Energies are from PBE-GGA.

Cell: 7.8505 2.8195 35.6144 Å, 90.00 90.03 90.00°
Positions (direct):
Pt (0.1140, 0.2500, 0.2397)
Pt (0.1185, 0.2500, 0.3220)
Pt (0.1236, 0.2500, 0.4016)
Pt (0.1246, 0.2500, 0.7194)
Pt (0.1261, 0.2500, 0.4799)
Pt (0.1259, 0.2500, 0.5582)
Pt (0.1256, 0.2500, 0.6379)
Pt (0.3629, 0.7500, 0.7604)
Pt (0.3687, 0.7500, 0.6785)
Pt (0.3736, 0.7500, 0.5988)
Pt (0.3754, 0.7500, 0.2098)
Pt (0.3745, 0.7500, 0.2848)
Pt (0.3752, 0.7500, 0.3610)
Pt (0.3759, 0.7500, 0.4400)
Pt (0.3760, 0.7500, 0.5194)
Pt (0.6240, 0.2500, 0.4806)
Pt (0.6241, 0.2500, 0.5600)
Pt (0.6248, 0.2500, 0.6390)
Pt (0.6255, 0.2500, 0.7152)
Pt (0.6246, 0.2500, 0.7902)
Pt (0.6264, 0.2500, 0.4012)
Pt (0.6313, 0.2500, 0.3215)
Pt (0.6371, 0.2500, 0.2396)
Pt (0.8744, 0.7500, 0.3621)
Pt (0.8741, 0.7500, 0.4418)
Pt (0.8739, 0.7500, 0.5201)
Pt (0.8754, 0.7500, 0.2806)
Pt (0.8764, 0.7500, 0.5984)
Pt (0.8815, 0.7500, 0.6780)
Pt (0.8860, 0.7500, 0.7603)
Pb (0.1247, 0.2500, 0.8101)
Pb (0.8753, 0.7500, 0.1899)

Calculated values
Magnetization = 0.28 μB per formula unit
Space-group type = P2_1/m (11)
Distance to the lowest polymorph of the same formula = 0.059 eV/atom
E = -5.838 eV/atom

[5]
Here is a relaxed structure of KAuO from the Open Quantum Materials Database. Energies are from PBE-GGA.

Cell: 4.3098 4.3098 7.1118 Å, 90.00 90.00 97.27°
Positions (direct):
K (0.0575, 0.9425, 0.7500)
K (0.9425, 0.0575, 0.2500)
Au (0.5000, 0.5000, 0.0000)
Au (0.5000, 0.5000, 0.5000)
O (0.3484, 0.6516, 0.2500)
O (0.6516, 0.3484, 0.7500)

Calculated values
Space-group type = Cmcm (63)
E = -3.902 eV/atom

[6]
Here is a relaxed structure of YCoPbAu from the Open Quantum Materials Database. Energies are from PBE-GGA.

Cell: 4.8897 4.8897 4.8897 Å, 60.00 60.00 60.00°
Positions (direct):
Y (0.0000, 0.0000, 0.0000)
Co (0.7500, 0.7500, 0.7500)
Pb (0.5000, 0.5000, 0.5000)
Au (0.2500, 0.2500, 0.2500)

Calculated values
Magnetization = 1.37 μB per formula unit
Space-group type = F-43m (216)
Distance to the lowest polymorph of the same formula = 0.000 eV/atom
E = -5.282 eV/atom

[7]
Here is a relaxed structure of LiZr from the Open Quantum Materials Database. Energies are from PBE-GGA.

Cell: 6.1948 6.1948 4.9045 Å, 90.00 90.00 120.00°
Positions (direct):
Li (0.0000, 0.0000, 0.0000)
Li (0.3161, 0.1580, 0.5000)
Li (0.8420, 0.1580, 0.5000)
Li (0.8420, 0.6839, 0.5000)
Zr (0.0152, 0.5076, 0.0000)
Zr (0.3333, 0.6667, 0.5000)
Zr (0.4924, 0.5076, 0.0000)
Zr (0.4924, 0.9848, 0.0000)

Calculated values
Magnetization = 0.27 μB per formula unit
Space-group type = P-6m2 (187)
Distance to the lowest polymorph of the same formula = 0.177 eV/atom
E = -4.936 eV/atom

[8]
Here is a relaxed structure of Li2Hf2AlGaPd2 from the Open Quantum Materials Database. Energies are from PBE-GGA.

Cell: 4.4598 4.4598 6.3097 Å, 90.00 90.00 90.00°
Positions (direct):
Li (0.0000, 0.5000, 0.2478)
Li (0.5000, 0.0000, 0.7522)
Hf (0.0000, 0.0000, 0.0000)
Hf (0.5000, 0.5000, 0.5000)
Al (0.0000, 0.0000, 0.5000)
Ga (0.5000, 0.5000, 0.0000)
Pd (0.0000, 0.5000, 0.7461)
Pd (0.5000, 0.0000, 0.2539)

Calculated values
Magnetization = 0.00 μB per formula unit
Space-group type = P-4m2 (115)
E = -5.711 eV/atom

[9]
Here is a relaxed structure of Er2CdOs from the Open Quantum Materials Database. Energies are from PBE-GGA.

Cell: 3.4171 3.4171 7.6923 Å, 90.00 90.00 90.00°
Positions (direct):
Er (0.0000, 0.0000, 0.2120)
Er (0.0000, 0.0000, 0.7880)
Cd (0.5000, 0.5000, 0.5000)
Os (0.5000, 0.5000, 0.0000)

Calculated values
E_form = -34 kJ per mole of atoms
Magnetization = 0.01 μB per formula unit
Space-group type = P4/mmm (123)
E = -5.666 eV/atom

[10]
Here is a relaxed structure of Hf2Sc4Sb3C3 from the Open Quantum Materials Database. Energies are from PBE-GGA.

Cell: 5.9024 5.9024 14.5622 Å, 101.77 101.77 60.03°
Positions (direct):
Hf (0.0278, 0.8570, 0.5828)
Hf (0.1430, 0.9722, 0.9172)
Hf (0.8570, 0.0278, 0.0828)
Hf (0.9722, 0.1430, 0.4172)
Sc (0.1949, 0.3664, 0.0861)
Sc (0.3083, 0.4675, 0.4139)
Sc (0.3664, 0.1949, 0.5861)
Sc (0.4675, 0.3083, 0.9139)
Sc (0.5325, 0.6917, 0.0861)
Sc (0.6336, 0.8051, 0.4139)
Sc (0.6917, 0.5325, 0.5861)
Sc (0.8051, 0.6336, 0.9139)
Sb (0.0839, 0.2462, 0.7494)
Sb (0.2462, 0.0839, 0.2494)
Sb (0.4147, 0.5853, 0.7500)
Sb (0.5853, 0.4147, 0.2500)
Sb (0.7538, 0.9161, 0.7506)
Sb (0.9161, 0.7538, 0.2506)
C (0.0000, 0.5000, 0.5000)
C (0.1607, 0.6788, 0.0000)
C (0.3212, 0.8393, 0.5000)
C (0.5000, 0.0000, 0.0000)
C (0.6788, 0.1607, 0.5000)
C (0.8393, 0.3212, 0.0000)

Calculated values
Magnetization = 0.00 μB per formula unit
Space-group type = C2/c (15)
E = -7.870 eV/atom

[11]
Here is a relaxed structure of BaZn2Ge2 from the Open Quantum Materials Database. Energies are from PBE-GGA.

Cell: 6.2184 6.2184 6.2184 Å, 136.80 136.80 62.75°
Positions (direct):
Ba (0.0000, 0.0000, 0.0000)
Zn (0.2500, 0.7500, 0.5000)
Zn (0.7500, 0.2500, 0.5000)
Ge (0.3766, 0.3766, 0.0000)
Ge (0.6234, 0.6234, 0.0000)

Calculated values
Space-group type = I4/mmm (139)
E = -3.122 eV/atom

[12]
Here is a relaxed structure of Nd3As2P from the Open Quantum Materials Database. Energies are from PBE-GGA.

Cell: 4.2369 4.2369 10.3818 Å, 90.00 90.00 120.00°
Positions (direct):
Nd (0.0000, 0.0000, 0.0000)
Nd (0.3333, 0.6667, 0.3391)
Nd (0.6667, 0.3333, 0.6609)
As (0.3333, 0.6667, 0.8310)
As (0.6667, 0.3333, 0.1690)
P (0.0000, 0.0000, 0.5000)

Calculated values
Magnetization = 0.00 μB per formula unit
Space-group type = P-3m1 (164)
E = -6.354 eV/atom